An optimized crystal structure of InSb2TeAs, computed with PBE.

size of the total moment: 0.0 μB/cell
crystal system: tetragonal
calculated total energy: -2.80 eV per atom
density: 5.238 Mg/m³
formation energy from raw total energies: 92.5 kJ/mol of atoms
excess energy over the best structure of this formula in the dataset: 482.9 meV per atom

Cell: 5.640 5.640 5.589 Å, 90.00 90.00 90.00°
Positions (direct):
1 In 0.000 0.000 0.000
2 Sb 0.000 0.500 0.000
3 Sb 0.500 0.000 0.000
4 Te 0.000 0.000 0.500
5 As 0.500 0.500 0.500

An optimized crystal structure of La2MgBe, computed with PBE.

size of the total moment: 0.0 μB/cell
crystal system: cubic
calculated total energy: -3.41 eV per atom
density: 5.200 Mg/m³
excess energy over the best structure of this formula in the dataset: 338.9 meV per atom
DFT formation energy: 0.380 eV/atom

Cell: 5.199 5.199 5.199 Å, 60.00 60.00 60.00°
Positions (direct):
1 La 0.000 0.000 0.000
2 La 0.250 0.250 0.250
3 Mg 0.750 0.750 0.750
4 Be 0.500 0.500 0.500

> The highest calculated total energy belongs to which entry?

InSb2TeAs